Below is crystalline Tl3PSe4 at its relaxed geometry, with properties calculated at the PBE level.

Results
Calculated total energy   -3.601 eV/atom
Energy above the most stable polymorph in this dataset   0.048 eV/atom

Unit cell a=9.458 b=9.299 c=6.328 alpha=90.00 beta=90.00 gamma=90.00
Space group Pmn2_1 (No. 31)
Unique sites:
Tl 0.000 0.107 0.000 [2 per cell]
Tl 0.195 0.321 0.501 [4 per cell]
P 0.000 0.784 0.395 [2 per cell]
Se 0.000 0.014 0.495 [2 per cell]
Se 0.000 0.774 0.038 [2 per cell]
Se 0.198 0.676 0.503 [4 per cell]



Below is crystalline NaSc3S4 at its relaxed geometry, with properties calculated at the PBE level.

Results
DOS(E_F)   3.1 states/eV/f.u.
Calculated total energy   -6.406 eV/atom

Unit cell a=3.7205 b=3.7205 c=25.4859 alpha=90.00 beta=90.00 gamma=120.00
Space group P6_3/mmc (No. 194)
Unique sites:
Na 0.3333 0.6667 0.2500 [2 per cell]
Sc 0.0000 0.0000 0.0000 [2 per cell]
Sc 0.3333 0.6667 0.6184 [4 per cell]
S 0.0000 0.0000 0.1744 [4 per cell]
S 0.3333 0.6667 0.0588 [4 per cell]



Below is crystalline AlSnSb2I at its relaxed geometry, with properties calculated at the PBE level.

Results
DOS(E_F)   5.2 states/eV/f.u.
Calculated total energy   -2.814 eV/atom
Energy above the most stable polymorph in this dataset   0.318 eV/atom

Unit cell a=5.699 b=5.699 c=6.158 alpha=90.00 beta=90.00 gamma=90.00
Space group P4/mmm (No. 123)
Unique sites:
Al 0.000 0.000 0.000 [1 per cell]
Sn 0.500 0.500 0.500 [1 per cell]
Sb 0.000 0.500 0.500 [2 per cell]
I 0.500 0.500 0.000 [1 per cell]



Below is crystalline KRb2BaAs at its relaxed geometry, with properties calculated at the PBE level.

Results
Formation energy from the elements   -0.251 eV per atom
DOS(E_F)   4.1 states/eV/f.u.
Calculated total energy   -2.172 eV/atom

Unit cell a=7.015 b=7.015 c=6.432 alpha=90.00 beta=90.00 gamma=90.00
Space group P4/mmm (No. 123)
Unique sites:
K 0.000 0.000 0.000 [1 per cell]
Rb 0.000 0.500 0.500 [2 per cell]
Ba 0.500 0.500 0.000 [1 per cell]
As 0.500 0.500 0.500 [1 per cell]



Below is crystalline InHgBr2F at its relaxed geometry, with properties calculated at the PBE level.

Results
DOS(E_F)   3.3 states/eV/f.u.
Calculated total energy   -2.554 eV/atom
Energy above the most stable polymorph in this dataset   0.000 eV/atom

Unit cell a=5.581 b=5.581 c=4.349 alpha=90.00 beta=90.00 gamma=90.00
Space group P4/mmm (No. 123)
Unique sites:
In 0.000 0.000 0.000 [1 per cell]
Hg 0.500 0.500 0.500 [1 per cell]
Br 0.000 0.500 0.000 [2 per cell]
F 0.000 0.000 0.500 [1 per cell]



Below is crystalline Pm2Pr2Rh3 at its relaxed geometry, with properties calculated at the PBE level.

Results
Formation energy from the elements   -0.627 eV per atom
DOS(E_F)   4.9 states/eV/f.u.
Calculated total energy   -6.500 eV/atom
Energy above the most stable polymorph in this dataset   0.000 eV/atom

Unit cell a=8.874 b=8.874 c=8.874 alpha=90.00 beta=90.00 gamma=90.00
Space group I2_13 (No. 199)
Unique sites:
Pm 0.058 0.442 0.558 [8 per cell]
Pr 0.189 0.189 0.189 [8 per cell]
Rh 0.000 0.250 0.861 [12 per cell]



Below is crystalline TbPmCdSi at its relaxed geometry, with properties calculated at the PBE level.

Results
DOS(E_F)   2.7 states/eV/f.u.
Calculated total energy   -4.320 eV/atom

Unit cell a=7.321 b=7.321 c=7.321 alpha=90.00 beta=90.00 gamma=90.00
Space group F-43m (No. 216)
Unique sites:
Tb 0.000 0.000 0.000 [4 per cell]
Pm 0.000 0.000 0.500 [4 per cell]
Cd 0.250 0.250 0.750 [4 per cell]
Si 0.250 0.250 0.250 [4 per cell]